Record 1
Density functional theory data (GGA-PBEsol) for a geometry-optimized RbPd2Ru structure.

Lattice parameters (Å, degrees): 4.6957 4.6957 4.6957 60.00 60.00 60.00
With the nearest neighbours (Å) after each atom.
Element x y z (fractional)
Rb 0.0000 0.0000 0.0000  8 Pd 2.88
Pd 0.2500 0.2500 0.2500  4 Ru 2.88, 4 Rb 2.88
Pd 0.7500 0.7500 0.7500  4 Ru 2.88, 4 Rb 2.88
Ru 0.5000 0.5000 0.5000  8 Pd 2.88

Computed properties:
V (Å³ per cell): 73.2
ΔE_f (meV per atom): 1092
Space group: Fm-3m (225)
DOS(E_F) (states/eV/f.u.): 4.11

=====

Record 2
Density functional theory data (GGA-PBEsol) for a geometry-optimized RbPdS2 structure.

Lattice parameters (Å, degrees): 6.3351 6.3351 6.3351 108.98 108.98 110.46
With the nearest neighbours (Å) after each atom.
Element x y z (fractional)
Rb 0.0000 0.0000 0.0000  8 S 3.36-3.43, 2 Pd 3.61
Rb 0.7500 0.2500 0.5000  8 S 3.36-3.43, 2 Pd 3.61
Pd 0.2500 0.7500 0.5000  4 S 2.29
Pd 0.5000 0.5000 0.0000  4 S 2.29
S 0.2376 0.6250 0.1126  2 Pd 2.29
S 0.3750 0.4876 0.6126  2 Pd 2.29
S 0.5124 0.1250 0.8874  2 Pd 2.29
S 0.8750 0.7624 0.3874  2 Pd 2.29

Computed properties:
V (Å³ per cell): 195.7
Energy relative to the elements, uncorrected (eV per atom): -0.5016
Space group: I-42d (122)
DOS(E_F) (states/eV/f.u.): 3.81

=====

Record 3
Density functional theory data (GGA-PBEsol) for a geometry-optimized RbPd2S structure.

Lattice parameters (Å, degrees): 8.2148 8.2148 8.2148 142.12 142.12 54.65
With the nearest neighbours (Å) after each atom.
Element x y z (fractional)
Rb 0.3750 0.6250 0.7500  8 Pd 3.50, 4 S 3.77
Rb 0.6250 0.3750 0.2500  8 Pd 3.50, 4 S 3.77
Pd 0.0000 0.0000 0.0000  2 S 2.26
Pd 0.0000 0.0000 0.5000  2 S 2.26
Pd 0.0000 0.5000 0.0000  2 S 2.26
Pd 0.5000 0.0000 0.5000  2 S 2.26
S 0.1250 0.8750 0.2500  4 Pd 2.26
S 0.8750 0.1250 0.7500  4 Pd 2.26

Computed properties:
V (Å³ per cell): 207.6
Energy relative to the elements, uncorrected (eV per atom): -0.4749
Space group: I4_1/amd (141)
DOS(E_F) (states/eV/f.u.): 0.97

=====

Record 4
Density functional theory data (GGA-PBEsol) for a geometry-optimized Rb2PdS structure.

Lattice parameters (Å, degrees): 10.8579 10.8579 10.8579 155.12 155.12 35.48
With the nearest neighbours (Å) after each atom.
Element x y z (fractional)
Rb 0.1192 0.6250 0.9942  2 Pd 3.06, 2 S 3.08, 4 Rb 3.27-3.35
Rb 0.3750 0.3692 0.4942  2 Pd 3.06, 2 S 3.08, 4 Rb 3.27-3.35
Rb 0.6308 0.1250 0.0058  2 Pd 3.06, 2 S 3.08, 4 Rb 3.27-3.35
Rb 0.8750 0.8808 0.5058  2 Pd 3.06, 2 S 3.08, 4 Rb 3.27-3.35
Pd 0.0000 0.0000 0.0000  4 Rb 3.06, 4 S 3.31
Pd 0.7500 0.2500 0.5000  4 Rb 3.06, 4 S 3.31
S 0.2500 0.7500 0.5000  4 Rb 3.08, 4 Pd 3.31
S 0.5000 0.5000 0.0000  4 Rb 3.08, 4 Pd 3.31

Computed properties:
V (Å³ per cell): 226.3
Energy relative to the elements, uncorrected (eV per atom): 0.1417
Space group: I-42d (122)
DOS(E_F) (states/eV/f.u.): 1.09

=====

Record 5
Density functional theory data (GGA-PBEsol) for a geometry-optimized RbSnPdS2 structure.

Lattice parameters (Å, degrees): 4.8148 4.8148 5.2163 90.00 90.00 90.00
With the nearest neighbours (Å) after each atom.
Element x y z (fractional)
Rb 0.0000 0.0000 0.0000  2 Pd 2.61
Sn 0.5000 0.5000 0.0000  4 Rb 3.40, 8 S 3.55
Pd 0.0000 0.0000 0.5000  4 S 2.41, 2 Rb 2.61
S 0.0000 0.5000 0.5000  2 Pd 2.41
S 0.5000 0.0000 0.5000  2 Pd 2.41

Computed properties:
V (Å³ per cell): 120.9
Energy relative to the elements, uncorrected (eV per atom): 0.1449
Space group: P4/mmm (123)
DOS(E_F) (states/eV/f.u.): 2.81

=====

Record 6
Density functional theory data (GGA-PBEsol) for a geometry-optimized RbTaPd2S structure.

Lattice parameters (Å, degrees): 4.7112 4.7112 4.5749 90.00 90.00 90.00
With the nearest neighbours (Å) after each atom.
Element x y z (fractional)
Rb 0.0000 0.0000 0.0000  8 Pd 3.28, 4 Ta 3.33
Ta 0.5000 0.5000 0.0000  2 S 2.29
Pd 0.0000 0.5000 0.5000  2 S 2.36
Pd 0.5000 0.0000 0.5000  2 S 2.36
S 0.5000 0.5000 0.5000  2 Ta 2.29, 4 Pd 2.36

Computed properties:
V (Å³ per cell): 101.5
Energy relative to the elements, uncorrected (eV per atom): 0.3219
Space group: P4/mmm (123)
DOS(E_F) (states/eV/f.u.): 1.95

=====

Record 7
Density functional theory data (GGA-PBEsol) for a geometry-optimized RbSbTe2Pd structure.

Lattice parameters (Å, degrees): 5.9540 5.9540 5.7680 90.00 90.00 90.00
With the nearest neighbours (Å) after each atom.
Element x y z (fractional)
Rb 0.0000 0.0000 0.0000  2 Sb 2.88, 4 Te 2.98
Sb 0.0000 0.0000 0.5000  2 Rb 2.88
Te 0.0000 0.5000 0.0000  2 Rb 2.98
Te 0.5000 0.0000 0.0000  2 Rb 2.98
Pd 0.5000 0.5000 0.5000  8 Te 4.14, 4 Sb 4.21

Computed properties:
V (Å³ per cell): 204.5
Energy relative to the elements, uncorrected (eV per atom): 1.6241
Space group: P4/mmm (123)
DOS(E_F) (states/eV/f.u.): 8.97

=====

Record 8
Density functional theory data (GGA-PBEsol) for a geometry-optimized RbScPd3 structure.

Lattice parameters (Å, degrees): 4.9506 4.9506 4.9506 90.00 90.00 90.00
With the nearest neighbours (Å) after each atom.
Element x y z (fractional)
Rb 0.0000 0.0000 0.0000  6 Pd 2.48
Sc 0.5000 0.5000 0.5000  12 Pd 3.50
Pd 0.0000 0.0000 0.5000  2 Rb 2.48
Pd 0.0000 0.5000 0.0000  2 Rb 2.48
Pd 0.5000 0.0000 0.0000  2 Rb 2.48

Computed properties:
V (Å³ per cell): 121.3
Offset from the most stable computed form (meV per atom): 1063.8
ΔE_f (meV per atom): 1328
Space group: Pm-3m (221)
DOS(E_F) (states/eV/f.u.): 2.41

=====

Record 9
Density functional theory data (GGA-PBEsol) for a geometry-optimized RbScPd3 structure.

Lattice parameters (Å, degrees): 4.9191 4.9191 4.9191 90.00 90.00 90.00
With the nearest neighbours (Å) after each atom.
Element x y z (fractional)
Rb 0.0000 0.0000 0.0000  12 Pd 3.48
Sc 0.5000 0.5000 0.5000  6 Pd 2.46
Pd 0.0000 0.5000 0.5000  2 Sc 2.46
Pd 0.5000 0.0000 0.5000  2 Sc 2.46
Pd 0.5000 0.5000 0.0000  2 Sc 2.46

Computed properties:
V (Å³ per cell): 119.0
Offset from the most stable computed form (meV per atom): 0.0
ΔE_f (meV per atom): 264
Space group: Pm-3m (221)
DOS(E_F) (states/eV/f.u.): 2.50

=====

Record 10
Density functional theory data (GGA-PBEsol) for a geometry-optimized Rb2Pd3Se4 structure.

Lattice parameters (Å, degrees): 14.5328 13.8090 6.3742 83.44 70.73 25.83
With the nearest neighbours (Å) after each atom.
Element x y z (fractional)
Rb 0.0508 0.0508 0.1992  8 Se 3.59-3.71, 6 Pd 3.75-3.77, 1 Rb 3.99
Rb 0.1992 0.1992 0.0508  8 Se 3.59-3.71, 6 Pd 3.75-3.77, 1 Rb 3.99
Rb 0.8008 0.8008 0.9492  8 Se 3.59-3.71, 6 Pd 3.75-3.77, 1 Rb 3.99
Rb 0.9492 0.9492 0.8008  8 Se 3.59-3.71, 6 Pd 3.75-3.77, 1 Rb 3.99
Pd 0.1255 0.1255 0.6245  4 Se 2.45-2.46
Pd 0.3750 0.3750 0.3750  4 Se 2.45
Pd 0.3755 0.3755 0.8745  4 Se 2.45-2.46
Pd 0.6245 0.6245 0.1255  4 Se 2.45-2.46
Pd 0.6250 0.6250 0.6250  4 Se 2.45
Pd 0.8745 0.8745 0.3755  4 Se 2.45-2.46
Se 0.1513 0.4776 0.2663  3 Pd 2.45-2.46
Se 0.2663 0.6047 0.1513  3 Pd 2.45-2.46
Se 0.3953 0.7337 0.5224  3 Pd 2.45-2.46
Se 0.4776 0.1513 0.6047  3 Pd 2.45-2.46
Se 0.5224 0.8487 0.3953  3 Pd 2.45-2.46
Se 0.6047 0.2663 0.4776  3 Pd 2.45-2.46
Se 0.7337 0.3953 0.8487  3 Pd 2.45-2.46
Se 0.8487 0.5224 0.7337  3 Pd 2.45-2.46

Computed properties:
V (Å³ per cell): 471.4
Energy relative to the elements, uncorrected (eV per atom): -0.7093
Space group: Fddd (70)

=====

Record 11
Density functional theory data (GGA-PBEsol) for a geometry-optimized RbSi2Pd structure.

Lattice parameters (Å, degrees): 4.7303 4.7303 4.7303 60.00 60.00 60.00
With the nearest neighbours (Å) after each atom.
Element x y z (fractional)
Rb 0.0000 0.0000 0.0000  8 Si 2.90
Si 0.2500 0.2500 0.2500  4 Rb 2.90, 4 Pd 2.90
Si 0.7500 0.7500 0.7500  4 Rb 2.90, 4 Pd 2.90
Pd 0.5000 0.5000 0.5000  8 Si 2.90

Computed properties:
V (Å³ per cell): 74.8
Energy relative to the elements, uncorrected (eV per atom): 0.5981
Space group: Fm-3m (225)
DOS(E_F) (states/eV/f.u.): 1.98

=====

Record 12
Density functional theory data (GGA-PBEsol) for a geometry-optimized RbSi3Pd structure.

Lattice parameters (Å, degrees): 4.8455 4.8455 4.8455 90.00 90.00 90.00
With the nearest neighbours (Å) after each atom.
Element x y z (fractional)
Rb 0.0000 0.0000 0.0000  12 Si 3.43
Si 0.0000 0.5000 0.5000  2 Pd 2.42
Si 0.5000 0.0000 0.5000  2 Pd 2.42
Si 0.5000 0.5000 0.0000  2 Pd 2.42
Pd 0.5000 0.5000 0.5000  6 Si 2.42

Computed properties:
V (Å³ per cell): 113.8
Energy relative to the elements, uncorrected (eV per atom): 0.5161
Space group: Pm-3m (221)
DOS(E_F) (states/eV/f.u.): 4.19